No. 1
Compound: In2TcW
Source: Alexandria via LeMat-Bulk
Functional: PBE
Structure: relaxed

N(E_F): 1.9 states/eV/cell
SG: Pm
Calculated volume: 79 Å³/cell
Formation energy from the elements: 0.17 eV per atom

Cell and atoms, written as extended XYZ:
```
4
Lattice="3.1190 0.0000 0.0000 0.0000 3.0661 0.0000 -1.5503 0.0000 8.2101" Properties=species:S:1:pos:R:3 pbc="T T T"
In 0.0000 0.0000 0.0000
In 0.0135 1.5330 2.7640
Tc 0.0097 1.5330 6.2422
W 1.5722 0.0000 4.8335
```



No. 2
Compound: CaZr2Tc
Source: Alexandria via LeMat-Bulk
Functional: PBE
Structure: relaxed

N(E_F): 4.6 states/eV/cell
SG: R3m
Calculated volume: 92 Å³/cell
Formation energy from the elements: 0.27 eV per atom

Cell and atoms, written as extended XYZ:
```
4
Lattice="1.6359 0.9445 9.8923 -1.6359 0.9445 9.8923 0.0000 -1.8890 9.8923" Properties=species:S:1:pos:R:3 pbc="T T T"
Ca 0.0000 0.0000 0.0000
Zr 0.0000 0.0000 6.7960
Zr 0.0000 0.0000 14.1075
Tc 0.0000 0.0000 22.1076
```



No. 3
Compound: Pm4Ho2Tm3
Source: Alexandria via LeMat-Bulk
Functional: PBE
Structure: relaxed

N(E_F): 23.6 states/eV/cell
SG: Cccm
Calculated volume: 577 Å³/cell
Formation energy from the elements: 0.05 eV per atom

Cell and atoms, written as extended XYZ:
```
18
Lattice="4.8612 -8.4489 0.0000 4.8612 8.4489 0.0000 0.0000 0.0000 7.0292" Properties=species:S:1:pos:R:3 pbc="T T T"
Pm 1.6071 0.2616 0.0000
Pm 3.0152 2.7056 3.5146
Pm 1.6071 -0.2616 3.5146
Pm 3.0152 -2.7056 0.0000
Pm 6.7072 2.7056 0.0000
Pm 8.1153 0.2616 3.5146
Pm 6.7072 -2.7056 3.5146
Pm 8.1153 -0.2616 0.0000
Ho 3.4546 2.9498 0.0000
Ho 6.2678 2.9498 3.5146
Ho 3.4546 -2.9498 3.5146
Ho 6.2678 -2.9498 0.0000
Tm 4.8612 5.5862 1.7573
Tm 4.8612 5.5862 5.2719
Tm 4.8612 0.0000 1.7573
Tm 4.8612 0.0000 5.2719
Tm 4.8612 -5.5862 1.7573
Tm 4.8612 -5.5862 5.2719
```



No. 4
Compound: LaDyGe2Rh5
Source: Alexandria via LeMat-Bulk
Functional: PBE
Structure: relaxed

N(E_F): 5.8 states/eV/cell
SG: P4/mmm
Calculated volume: 161 Å³/cell
Formation energy from the elements: -0.70 eV per atom

Cell and atoms, written as extended XYZ:
```
9
Lattice="4.2205 0.0000 0.0000 0.0000 4.2205 0.0000 0.0000 0.0000 9.0471" Properties=species:S:1:pos:R:3 pbc="T T T"
La 0.0000 0.0000 0.0000
Dy 0.0000 0.0000 4.5235
Ge 2.1102 2.1102 3.2699
Ge 2.1102 2.1102 5.7772
Rh 0.0000 2.1102 2.1266
Rh 0.0000 2.1102 6.9205
Rh 2.1102 0.0000 2.1266
Rh 2.1102 0.0000 6.9205
Rh 2.1102 2.1102 0.0000
```



No. 5
Compound: Li2TiPd2
Source: Alexandria via LeMat-Bulk
Functional: PBE
Structure: relaxed

N(E_F): 3.4 states/eV/cell
SG: Cmmm
Calculated volume: 81 Å³/cell
Formation energy from the elements: -0.42 eV per atom

Cell and atoms, written as extended XYZ:
```
5
Lattice="1.4986 -9.2338 0.0000 1.4986 9.2338 0.0000 0.0000 0.0000 2.9339" Properties=species:S:1:pos:R:3 pbc="T T T"
Li 1.4986 5.8512 0.0000
Li 1.4986 -5.8512 0.0000
Ti 0.0000 0.0000 0.0000
Pd 1.4986 1.7034 1.4670
Pd 1.4986 -1.7034 1.4670
```



No. 6
Compound: LiCeAgGe
Source: Alexandria via LeMat-Bulk
Functional: PBE
Structure: relaxed

N(E_F): 4.9 states/eV/cell
SG: F-43m
Calculated volume: 85 Å³/cell
Formation energy from the elements: -0.36 eV per atom

Cell and atoms, written as extended XYZ:
```
4
Lattice="0.0000 3.4886 3.4886 3.4886 0.0000 3.4886 3.4886 3.4886 0.0000" Properties=species:S:1:pos:R:3 pbc="T T T"
Li 0.0000 0.0000 0.0000
Ce 3.4886 3.4886 3.4886
Ag 5.2329 5.2329 5.2329
Ge 1.7443 1.7443 1.7443
```



No. 7
Compound: La5W
Source: Alexandria via LeMat-Bulk
Functional: PBE
Structure: relaxed

N(E_F): 8.1 states/eV/cell
SG: Amm2
Calculated volume: 192 Å³/cell
Formation energy from the elements: 0.38 eV per atom

Cell and atoms, written as extended XYZ:
```
6
Lattice="5.6974 0.0000 0.0000 0.0000 1.9183 8.8043 0.0000 -1.9183 8.8043" Properties=species:S:1:pos:R:3 pbc="T T T"
La 0.0000 0.0000 0.0000
La 0.0000 0.0000 4.7603
La 2.8487 0.0000 1.8496
La 2.8487 0.0000 7.4571
La 2.8487 0.0000 13.2127
W 0.0000 0.0000 11.2877
```



No. 8
Compound: AgTeHS2
Source: Alexandria via LeMat-Bulk
Functional: PBE
Structure: relaxed

Raw total energy: -2.5601 eV per atom
N(E_F): 4.7 states/eV/cell
SG: P4/mmm
Calculated volume: 143 Å³/cell

Cell and atoms, written as extended XYZ:
```
5
Lattice="5.1796 0.0000 0.0000 0.0000 5.1796 0.0000 0.0000 0.0000 5.3465" Properties=species:S:1:pos:R:3 pbc="T T T"
Ag 0.0000 0.0000 0.0000
Te 0.0000 0.0000 2.6733
H 2.5898 2.5898 0.0000
S 0.0000 2.5898 2.6733
S 2.5898 0.0000 2.6733
```



No. 9
Compound: KEuSn
Source: Alexandria via LeMat-Bulk
Functional: PBE
Structure: relaxed

N(E_F): 8.9 states/eV/cell
SG: I4mm
Calculated volume: 123 Å³/cell
Formation energy from the elements: -0.23 eV per atom

Cell and atoms, written as extended XYZ:
```
3
Lattice="-2.0468 2.0468 7.3486 2.0468 -2.0468 7.3486 2.0468 2.0468 -7.3486" Properties=species:S:1:pos:R:3 pbc="T T T"
K 0.0000 0.0000 0.0000
Eu 0.0000 0.0000 10.8024
Sn 0.0000 0.0000 5.0693
```



No. 10
Compound: TlHgCl2
Source: Alexandria via LeMat-Bulk
Functional: PBE
Structure: relaxed

N(E_F): 1.7 states/eV/cell
SG: I-4m2
Calculated volume: 124 Å³/cell
Formation energy (no corrections): -0.52 eV per atom

Cell and atoms, written as extended XYZ:
```
4
Lattice="-2.1252 2.1252 6.8894 2.1252 -2.1252 6.8894 2.1252 2.1252 -6.8894" Properties=species:S:1:pos:R:3 pbc="T T T"
Tl 0.0000 0.0000 0.0000
Hg 0.0000 2.1252 3.4447
Cl 2.1252 0.0000 3.4447
Cl 0.0000 0.0000 6.8894
```



No. 11
Compound: Pr2NdSmPt2
Source: Alexandria via LeMat-Bulk
Functional: PBE
Structure: relaxed

N(E_F): 12.6 states/eV/cell
SG: Ibam
Calculated volume: 351 Å³/cell
Formation energy from the elements: -0.74 eV per atom

Cell and atoms, written as extended XYZ:
```
12
Lattice="-3.4996 7.1823 3.4945 3.4996 -7.1823 3.4945 3.4996 7.1823 -3.4945" Properties=species:S:1:pos:R:3 pbc="T T T"
Pr 1.4593 2.7703 0.0000
Pr 1.4593 -2.7703 3.4945
Pr 2.0402 9.9526 0.0000
Pr 2.0402 4.4121 3.4945
Nd 3.4996 0.0000 1.7472
Nd 0.0000 7.1823 1.7472
Sm 0.0000 0.0000 1.7472
Sm 0.0000 0.0000 5.2417
Pt 5.3478 1.5956 0.0000
Pt 1.8483 5.5867 0.0000
Pt 1.6513 1.5956 3.4945
Pt -1.8483 5.5867 3.4945
```



No. 12
Compound: K2TcAg
Source: Alexandria via LeMat-Bulk
Functional: PBE
Structure: relaxed

N(E_F): 3.4 states/eV/cell
SG: Cm
Calculated volume: 112 Å³/cell
Formation energy from the elements: 0.92 eV per atom

Cell and atoms, written as extended XYZ:
```
4
Lattice="6.5204 -1.3920 0.0000 6.5204 1.3920 0.0000 -1.8358 0.0000 6.1791" Properties=species:S:1:pos:R:3 pbc="T T T"
K 0.0000 0.0000 0.0000
K 1.4554 0.0000 3.7510
Tc 4.7418 0.0000 2.8235
Ag 9.7515 0.0000 0.9337
```



No. 13
Compound: Sm2AlZn2Ni5
Source: Alexandria via LeMat-Bulk
Functional: PBE
Structure: relaxed

N(E_F): 12.4 states/eV/cell
SG: P4/mbm
Calculated volume: 313 Å³/cell
Formation energy from the elements: -0.27 eV per atom

Cell and atoms, written as extended XYZ:
```
20
Lattice="9.4969 0.0000 0.0000 0.0000 9.4969 0.0000 0.0000 0.0000 3.4720" Properties=species:S:1:pos:R:3 pbc="T T T"
Sm 1.6866 3.0619 0.0000
Sm 3.0619 7.8103 0.0000
Sm 6.4350 1.6866 0.0000
Sm 7.8103 6.4350 0.0000
Al 0.0000 0.0000 0.0000
Al 4.7484 4.7484 0.0000
Zn 1.1443 5.8928 0.0000
Zn 3.6041 1.1443 0.0000
Zn 5.8928 8.3525 0.0000
Zn 8.3525 3.6041 0.0000
Ni 0.0000 4.7484 1.7360
Ni 0.5226 7.6106 1.7360
Ni 1.8863 0.5226 1.7360
Ni 2.8622 5.2710 1.7360
Ni 4.2258 2.8622 1.7360
Ni 4.7484 0.0000 1.7360
Ni 5.2710 6.6347 1.7360
Ni 6.6347 4.2258 1.7360
Ni 7.6106 8.9743 1.7360
Ni 8.9743 1.8863 1.7360
```



No. 14
Compound: Er5Th2
Source: Alexandria via LeMat-Bulk
Functional: PBE
Structure: relaxed

N(E_F): 17.0 states/eV/cell
SG: R-3m
Calculated volume: 221 Å³/cell
Formation energy from the elements: 0.17 eV per atom

Cell and atoms, written as extended XYZ:
```
7
Lattice="2.8018 1.6176 8.1117 -2.8018 1.6176 8.1117 0.0000 -3.2352 8.1117" Properties=species:S:1:pos:R:3 pbc="T T T"
Er 0.0000 0.0000 0.0000
Er 0.0000 0.0000 6.8090
Er 0.0000 0.0000 10.3152
Er 0.0000 0.0000 14.0199
Er 0.0000 0.0000 17.5261
Th 0.0000 0.0000 3.3508
Th 0.0000 0.0000 20.9843
```



No. 15
Compound: RbBa2NaIr
Source: Alexandria via LeMat-Bulk
Functional: PBE
Structure: relaxed

N(E_F): 3.8 states/eV/cell
SG: P4/mmm
Calculated volume: 252 Å³/cell
Formation energy from the elements: 0.13 eV per atom

Cell and atoms, written as extended XYZ:
```
5
Lattice="6.0784 0.0000 0.0000 0.0000 6.0784 0.0000 0.0000 0.0000 6.8146" Properties=species:S:1:pos:R:3 pbc="T T T"
Rb 0.0000 0.0000 0.0000
Ba 0.0000 3.0392 3.4073
Ba 3.0392 0.0000 3.4073
Na 3.0392 3.0392 0.0000
Ir 0.0000 0.0000 3.4073
```



No. 16
Compound: Cs8Rb5Hg
Source: Alexandria via LeMat-Bulk
Functional: PBE
Structure: relaxed

N(E_F): 14.0 states/eV/cell
SG: I-4
Calculated volume: 1355 Å³/cell
Formation energy from the elements: -0.01 eV per atom

Cell and atoms, written as extended XYZ:
```
14
Lattice="-7.1958 7.1958 6.5420 7.1958 -7.1958 6.5420 7.1958 7.1958 -6.5420" Properties=species:S:1:pos:R:3 pbc="T T T"
Cs 3.8614 -1.8778 3.8857
Cs 0.5986 4.9573 0.6372
Cs 3.3344 9.0736 -2.6563
Cs 5.3180 3.3344 2.6563
Cs -0.5986 9.4344 0.6372
Cs -2.2385 6.5973 5.9048
Cs 1.8778 3.8614 9.1983
Cs 2.2385 7.7944 5.9048
Rb 0.0000 0.0000 0.0000
Rb 6.1704 4.9164 -1.8273
Rb 1.0254 2.2795 4.7147
Rb 2.2795 -1.0254 8.3692
Rb 4.9164 8.2212 1.8273
Hg 7.1958 0.0000 3.2710
```



No. 17
Compound: SrSiHgS2
Source: Alexandria via LeMat-Bulk
Functional: PBE
Structure: relaxed

N(E_F): 5.0 states/eV/cell
SG: P4/mmm
Calculated volume: 153 Å³/cell
Formation energy (no corrections): 0.56 eV per atom

Cell and atoms, written as extended XYZ:
```
5
Lattice="5.0015 0.0000 0.0000 0.0000 5.0015 0.0000 0.0000 0.0000 6.1047" Properties=species:S:1:pos:R:3 pbc="T T T"
Sr 0.0000 0.0000 0.0000
Si 2.5007 2.5007 0.0000
Hg 0.0000 0.0000 3.0523
S 0.0000 2.5007 3.0523
S 2.5007 0.0000 3.0523
```



No. 18
Compound: ErHfMg2Pd4
Source: Alexandria via LeMat-Bulk
Functional: PBE
Structure: relaxed

N(E_F): 4.7 states/eV/cell
SG: R-3m
Calculated volume: 145 Å³/cell
Formation energy from the elements: -0.78 eV per atom

Cell and atoms, written as extended XYZ:
```
8
Lattice="2.3227 1.3410 7.7579 -2.3227 1.3410 7.7579 0.0000 -2.6820 7.7579" Properties=species:S:1:pos:R:3 pbc="T T T"
Er 0.0000 0.0000 0.0000
Hf 0.0000 0.0000 11.6369
Mg 0.0000 0.0000 5.7930
Mg 0.0000 0.0000 17.4808
Pd 0.0000 0.0000 3.0031
Pd 0.0000 0.0000 8.8790
Pd 0.0000 0.0000 14.3948
Pd 0.0000 0.0000 20.2707
```



No. 19
Compound: LaNbNi3
Source: Alexandria via LeMat-Bulk
Functional: PBE
Structure: relaxed

N(E_F): 11.2 states/eV/cell
SG: Pm-3m
Calculated volume: 98 Å³/cell
Formation energy from the elements: 1.38 eV per atom

Cell and atoms, written as extended XYZ:
```
5
Lattice="4.6176 0.0000 0.0000 0.0000 4.6176 0.0000 0.0000 0.0000 4.6176" Properties=species:S:1:pos:R:3 pbc="T T T"
La 0.0000 0.0000 0.0000
Nb 2.3088 2.3088 2.3088
Ni 0.0000 0.0000 2.3088
Ni 0.0000 2.3088 0.0000
Ni 2.3088 0.0000 0.0000
```



No. 20
Compound: CaTl8In2
Source: Alexandria via LeMat-Bulk
Functional: PBE
Structure: relaxed

N(E_F): 4.7 states/eV/cell
SG: C2/m
Calculated volume: 358 Å³/cell
Formation energy from the elements: 0.02 eV per atom

Cell and atoms, written as extended XYZ:
```
11
Lattice="7.2973 -4.2282 0.0000 7.2973 4.2282 0.0000 -1.5268 0.0000 5.7934" Properties=species:S:1:pos:R:3 pbc="T T T"
Ca 0.0000 0.0000 0.0000
Tl 3.1663 0.0000 0.6099
Tl 5.9746 1.5995 1.2935
Tl 4.1418 0.0000 3.9254
Tl 7.0932 1.5995 4.4999
Tl 5.9746 -1.5995 1.2935
Tl 8.9260 0.0000 1.8680
Tl 7.0932 -1.5995 4.4999
Tl 9.9016 0.0000 5.1835
In 0.9551 0.0000 3.1163
In 12.1127 0.0000 2.6771
```



No. 21
Compound: Tb5Pm4Er2
Source: Alexandria via LeMat-Bulk
Functional: PBE
Structure: relaxed

N(E_F): 19.9 states/eV/cell
SG: C2/m
Calculated volume: 359 Å³/cell
Formation energy from the elements: 0.11 eV per atom

Cell and atoms, written as extended XYZ:
```
11
Lattice="9.7943 -2.9256 0.0000 9.7943 2.9256 0.0000 -0.5860 0.0000 6.2654" Properties=species:S:1:pos:R:3 pbc="T T T"
Tb 0.0000 0.0000 0.0000
Tb 5.2685 0.0000 3.7915
Tb 7.1668 0.0000 0.9003
Tb 11.8357 0.0000 5.3651
Tb 13.7340 0.0000 2.4739
Pm 3.7450 0.0000 0.4312
Pm 8.6904 0.0000 4.5254
Pm 10.3121 0.0000 1.7401
Pm 15.2575 0.0000 5.8343
Er 1.6000 0.0000 3.3897
Er 17.4026 0.0000 2.8758
```



No. 22
Compound: CaSiSe3
Source: Alexandria via LeMat-Bulk
Functional: PBE
Structure: relaxed

N(E_F): 7.8 states/eV/cell
SG: Pm-3m
Calculated volume: 156 Å³/cell
Formation energy (no corrections): 0.40 eV per atom

Cell and atoms, written as extended XYZ:
```
5
Lattice="5.3863 0.0000 0.0000 0.0000 5.3863 0.0000 0.0000 0.0000 5.3863" Properties=species:S:1:pos:R:3 pbc="T T T"
Ca 0.0000 0.0000 0.0000
Si 2.6932 2.6932 2.6932
Se 0.0000 0.0000 2.6932
Se 0.0000 2.6932 0.0000
Se 2.6932 0.0000 0.0000
```



No. 23
Compound: Cd2SbPd2
Source: Alexandria via LeMat-Bulk
Functional: PBE
Structure: relaxed

N(E_F): 3.8 states/eV/cell
SG: P2_1/m
Calculated volume: 207 Å³/cell
Formation energy (no corrections): -0.31 eV per atom

Cell and atoms, written as extended XYZ:
```
10
Lattice="4.6551 0.0000 0.0000 0.0000 4.5698 0.0000 -0.0056 0.0000 9.7462" Properties=species:S:1:pos:R:3 pbc="T T T"
Cd 1.1624 1.1425 0.0459
Cd 1.1622 1.1425 3.1213
Cd 3.4872 3.4274 6.6249
Cd 3.4870 3.4274 9.7003
Sb 1.1624 1.1425 6.5400
Sb 3.4870 3.4274 3.2062
Pd 1.1582 3.4274 4.8352
Pd 1.1596 3.4274 8.0757
Pd 3.4898 1.1425 1.6705
Pd 3.4913 1.1425 4.9110
```



No. 24
Compound: Cs2ReF6
Source: Alexandria via LeMat-Bulk
Functional: PBE
Structure: relaxed

N(E_F): 0.0 states/eV/cell
SG: P2_1/c
Calculated volume: 403 Å³/cell
Formation energy (no corrections): -2.50 eV per atom

Cell and atoms, written as extended XYZ:
```
18
Lattice="6.4925 0.0000 0.0000 0.0000 8.2964 0.0000 -3.9995 0.0000 7.4892" Properties=species:S:1:pos:R:3 pbc="T T T"
Cs -0.1385 0.5350 2.4258
Cs -2.1382 3.6132 6.1704
Cs 4.6313 4.6832 1.3188
Cs 2.6315 7.7615 5.0633
Re 3.2463 0.0000 0.0000
Re 1.2465 4.1482 3.7446
F -2.5406 0.8885 7.4022
F -0.5409 3.2597 3.6576
F 0.3794 5.8996 3.3774
F -1.6203 6.5451 7.1220
F -0.5892 0.2941 5.5287
F 1.4105 3.8541 1.7841
F 1.0825 4.4423 5.7050
F 3.0823 8.0023 1.9604
F 4.1134 1.7514 0.3672
F 2.1137 2.3969 4.1118
F 3.0340 5.0368 3.8315
F 5.0337 7.4079 0.0869
```